Density functional theory data (SCAN) for a PBEsol-optimized structure of AgSbCl2.

The value obtained for the magnetization is 0.0 μB per formula unit. As for the crystal system: tetragonal. The value obtained for the energy above the most stable polymorph in this dataset is 156 meV per atom. The symmetry is No. 123. The calculation puts the density of states at the Fermi level at 0.26 states/eV per atom. As for the mass density: 6.0 g cm⁻³.

Unit cell a=3.185 b=3.184 c=8.170 alpha=90.00 beta=90.00 gamma=90.00
Sites, in units of the cell vectors:
Ag 0.500 0.500 0.500
Cl 0.000 0.000 0.289
Cl 0.000 0.000 0.711
Sb 0.500 0.500 0.000

---

Density functional theory data (SCAN) for a PBEsol-optimized structure of AgSbCl2.

The value obtained for the magnetization is 0.0 μB per formula unit. As for the crystal system: tetragonal. The value obtained for the energy above the most stable polymorph in this dataset is 95 meV per atom. The symmetry is No. 122. As for the mass density: 4.3 g cm⁻³.

Unit cell a=5.244 b=7.187 c=7.187 alpha=82.35 beta=68.61 gamma=68.61
Sites, in units of the cell vectors:
Cl 0.875 0.374 0.126
Ag 0.250 0.500 0.500
Cl 0.751 0.874 0.374
Ag 0.500 0.000 0.000
Cl 0.999 0.126 0.626
Cl 0.375 0.626 0.874
Sb 0.000 0.000 0.000
Sb 0.750 0.500 0.500

---

Density functional theory data (SCAN) for a PBEsol-optimized structure of AgSb2Cl.

The value obtained for the magnetization is 0.0 μB per formula unit. As for the crystal system: monoclinic. The value obtained for the energy above the most stable polymorph in this dataset is 0 meV per atom. The symmetry is No. 12. The calculation puts the density of states at the Fermi level at 0.32 states/eV per atom. As for the mass density: 6.5 g cm⁻³.

Unit cell a=3.127 b=4.395 c=7.704 alpha=93.29 beta=90.00 gamma=110.84
Sites, in units of the cell vectors:
Sb 0.198 0.397 0.293
Ag 0.500 0.000 0.500
Sb 0.802 0.603 0.707
Cl 0.000 0.000 0.000

---

Density functional theory data (SCAN) for a PBEsol-optimized structure of AgSbCl4.

The value obtained for the magnetization is 1.5 μB per formula unit. As for the crystal system: cubic. As for the total DFT energy (no corrections): -97.109 eV/f.u. The symmetry is No. 216. The calculation puts the density of states at the Fermi level at 0.57 states/eV per atom. As for the mass density: 4.7 g cm⁻³.

Unit cell a=5.691 b=5.691 c=5.691 alpha=60.00 beta=60.00 gamma=60.00
Site moments in Bohr magnetons follow the coordinates.
Sites, in units of the cell vectors:
Cl 0.374 0.374 0.877  0.32
Cl 0.877 0.374 0.374  0.32
Cl 0.374 0.374 0.374  0.32
Ag 0.000 0.000 0.000  0.00
Cl 0.374 0.877 0.374  0.32
Sb 0.750 0.750 0.750  0.01

---

Density functional theory data (SCAN) for a PBEsol-optimized structure of AgSb4Cl.

The value obtained for the magnetization is 0.0 μB per formula unit. As for the crystal system: cubic. As for the total DFT energy (no corrections): -187.000 eV/f.u. The symmetry is No. 216. The calculation puts the density of states at the Fermi level at 0.14 states/eV per atom. As for the mass density: 6.5 g cm⁻³.

Unit cell a=6.114 b=6.114 c=6.114 alpha=60.00 beta=60.00 gamma=60.00
Sites, in units of the cell vectors:
Ag 0.750 0.750 0.750
Sb 0.369 0.892 0.369
Cl 0.000 0.000 0.000
Sb 0.892 0.369 0.369
Sb 0.369 0.369 0.369
Sb 0.369 0.369 0.892

---

Density functional theory data (SCAN) for a PBEsol-optimized structure of AgSb2Cl.

The value obtained for the magnetization is 0.0 μB per formula unit. As for the crystal system: trigonal. The value obtained for the energy above the most stable polymorph in this dataset is 135 meV per atom. The symmetry is No. 166. The calculation puts the density of states at the Fermi level at 0.35 states/eV per atom. As for the mass density: 7.2 g cm⁻³.

Unit cell a=3.347 b=3.347 c=9.445 alpha=79.79 beta=79.79 gamma=60.00
Sites, in units of the cell vectors:
Ag 0.500 0.500 0.500
Sb 0.753 0.753 0.741
Cl 0.000 0.000 0.000
Sb 0.247 0.247 0.259

---

Repeat the second record exactly.
Density functional theory data (SCAN) for a PBEsol-optimized structure of AgSbCl2.

The value obtained for the magnetization is 0.0 μB per formula unit. As for the crystal system: tetragonal. The value obtained for the energy above the most stable polymorph in this dataset is 95 meV per atom. The symmetry is No. 122. As for the mass density: 4.3 g cm⁻³.

Unit cell a=5.244 b=7.187 c=7.187 alpha=82.35 beta=68.61 gamma=68.61
Sites, in units of the cell vectors:
Cl 0.875 0.374 0.126
Ag 0.250 0.500 0.500
Cl 0.751 0.874 0.374
Ag 0.500 0.000 0.000
Cl 0.999 0.126 0.626
Cl 0.375 0.626 0.874
Sb 0.000 0.000 0.000
Sb 0.750 0.500 0.500